A plane-wave DFT calculation with GGA-PBE was carried out for SrNpPd2 after structural relaxation.

Unit cell a=3.5788 b=3.5788 c=7.4998 alpha=90.00 beta=90.00 gamma=90.00
Site moments in Bohr magnetons follow the coordinates.
Sites, in units of the cell vectors:
Pd  0.0000  0.0000  0.2085  -0.01
Pd  0.0000  0.0000  0.7915  -0.01
Np  0.5000  0.5000  0.0000  3.85
Sr  0.5000  0.5000  0.5000  0.02

Properties
Total energy = -6.53 eV/atom
Distance to the lowest polymorph of the same formula = 0.000 eV per atom
Symmetry = P4/mmm, No. 123

=====

A plane-wave DFT calculation with GGA-PBE was carried out for Rb3Tb3SiO8 after structural relaxation.

Unit cell a=6.7089 b=6.7097 c=7.6596 alpha=115.99 beta=90.00 gamma=120.00
Sites, in units of the cell vectors:
O  0.2270  0.0359  0.3450
O  0.7730  0.9641  0.6550
O  0.8089  0.0359  0.3450
O  0.7248  0.4496  0.6743
O  0.2752  0.5504  0.3257
O  0.1912  0.3823  0.6550
O  0.1911  0.9641  0.6550
O  0.8088  0.6177  0.3450
Rb  0.5000  0.5000  0.0000
Rb  0.0000  0.0000  0.0000
Rb  0.0000  0.5000  0.0000
Tb  0.5000  0.5000  0.5000
Tb  0.0000  0.5000  0.5000
Tb  0.5000  0.0000  0.5000
Si  0.0000  0.0000  0.5000

Properties
Total energy = -6.69 eV/atom
Symmetry = R-3m, No. 166
Uncorrected formation energy = -2.56 eV per atom